Material: Ac2SiPd6
Method: DFT, GGA-PBE
State: optimized geometry

**Raw formation energy**: -818 meV per atom
**Crystal system**: monoclinic
**ΔE to the lowest computed polymorph**: 24 meV/atom

abc: 10.2799 5.9341 5.9333
angles: 90.00 90.01 90.00
Space group C2/m (No. 12)
One atom of each set of equivalent atoms:
Ac (0.1681, 0.0000, 0.3028)
Si (0.0000, 0.5000, 0.5000)
Pd (0.0827, 0.2482, 0.8006)
Pd (0.1679, 0.5000, 0.2013)

---

Material: Ho5Er12Mg
Method: DFT, GGA-PBE
State: optimized geometry

**DFT total energy**: -4.38 eV per atom
**Crystal system**: triclinic

abc: 6.9961 9.2526 9.2634
angles: 69.04 79.03 79.05
Space group P1 (No. 1)
One atom of each set of equivalent atoms:
Ho (0.0000, 0.0000, 0.0000)
Ho (0.0530, 0.4434, 0.3348)
Ho (0.6097, 0.8900, 0.6669)
Ho (0.7206, 0.7751, 0.3334)
Ho (0.9442, 0.5542, 0.6672)
Er (0.1088, 0.8859, 0.6693)
Er (0.1659, 0.3323, 0.0001)
Er (0.2219, 0.7793, 0.3309)
Er (0.2778, 0.2214, 0.6653)
Er (0.3310, 0.6648, 0.0002)
Er (0.3868, 0.1106, 0.3328)
Er (0.4418, 0.5545, 0.6667)
Er (0.4975, 0.9980, 0.0004)
Er (0.5553, 0.4433, 0.3353)
Er (0.7750, 0.2216, 0.6651)
Er (0.8331, 0.6666, 0.9996)
Er (0.8889, 0.1105, 0.3336)
Mg (0.6651, 0.3325, 0.0003)

---

Material: TaTeH2
Method: DFT, GGA-PBE
State: optimized geometry

**Crystal system**: tetragonal
**ΔE to the lowest computed polymorph**: 222 meV/atom

abc: 5.8397 5.8397 6.0188
angles: 90.00 90.00 90.00
Space group I-42d (No. 122)
One atom of each set of equivalent atoms:
Ta (0.0000, 0.0000, 0.0000)
Te (0.0000, 0.0000, 0.5000)
H (0.1434, 0.2500, 0.1250)

---

Number 1: spin magnetization 0.00 μB per cell, calculated density 10.28 g/cm3. Number 2: spin magnetization 0.00 μB per cell, calculated density 8.70 g/cm3. Number 3: spin magnetization 0.00 μB per cell, calculated density 10.05 g/cm3.